# SmSi2Pd5, optimized geometry, DFT GGA-PBE
# Calculated total energy (Ry/atom): -0.439
# Magnetic moment (μB/f.u.): 0.00
data_SmSi2Pd5
_chemical_formula_sum 'Sm2 Si4 Pd10'
_space_group_name_H-M_alt 'I m m m'
_space_group_IT_number 71
_space_group_name_Hall '-I 2 2'
_cell_length_a 3.916
_cell_length_b 7.079
_cell_length_c 9.758
_cell_angle_alpha 90.00
_cell_angle_beta 90.00
_cell_angle_gamma 90.00
loop_
_atom_site_label
_atom_site_type_symbol
_atom_site_fract_x
_atom_site_fract_y
_atom_site_fract_z
_atom_site_occupancy
Sm1 Sm 0.000 0.000 0.000 1
Si1 Si 0.000 0.500 0.245 1
Pd1 Pd 0.000 0.197 0.349 1
Pd2 Pd 0.000 0.500 0.000 1

***

# YZr2Tc, optimized geometry, DFT GGA-PBE
# Relative energy among the computed polymorphs (meV/atom): 210.0
# Formation energy from the elements (eV per atom): 0.084
# Magnetic moment (μB/f.u.): 0.00
data_YZr2Tc
_chemical_formula_sum 'Y3 Zr6 Tc3'
_space_group_name_H-M_alt 'R -3 m'
_space_group_IT_number 166
_space_group_name_Hall '-R 3 2"'
_cell_length_a 3.3293
_cell_length_b 3.3293
_cell_length_c 28.7794
_cell_angle_alpha 90.00
_cell_angle_beta 90.00
_cell_angle_gamma 120.00
loop_
_atom_site_label
_atom_site_type_symbol
_atom_site_fract_x
_atom_site_fract_y
_atom_site_fract_z
_atom_site_occupancy
Y1 Y 0.0000 0.0000 0.0000 1
Zr1 Zr 0.0000 0.0000 0.2341 1
Tc1 Tc 0.0000 0.0000 0.5000 1